1.
## CrPbS2 (GGA-PBE)

Data for a relaxed structure of CrPbS2.

Properties
E_form (uncorrected)   -335 meV/atom

Lattice parameters (Å, degrees): 7.347 7.347 9.154 125.15 125.15 27.82
Positions (direct):
Cr 0.000 0.000 0.000
Cr 0.059 0.059 0.258
Pb 0.401 0.401 0.556
Pb 0.780 0.780 0.013
S 0.064 0.064 0.797
S 0.364 0.364 0.848
S 0.474 0.474 0.318
S 0.653 0.653 0.215

***

2.
## SrMg2Tc (GGA-PBE)

Data for a relaxed structure of SrMg2Tc.

Properties
ΔH_f (0 K)   0.362 eV per atom
E above lowest polymorph   0.00 kJ per mole of atoms

Lattice parameters (Å, degrees): 3.515 3.515 7.662 90.00 90.00 90.00
Positions (direct):
Sr 0.000 0.000 0.000
Mg 0.500 0.500 0.322
Mg 0.500 0.500 0.678
Tc 0.000 0.000 0.500

***

3.
## LiTePdN2 (GGA-PBE)

Data for a relaxed structure of LiTePdN2.

Properties
E_form (uncorrected)   1586 meV/atom
E above lowest polymorph   43.63 kJ per mole of atoms

Lattice parameters (Å, degrees): 3.829 3.829 5.268 90.00 90.00 90.00
Positions (direct):
Li 0.000 0.000 0.000
Te 0.000 0.000 0.500
Pd 0.500 0.500 0.500
N 0.000 0.500 0.000
N 0.500 0.000 0.000